Below is a relaxed structure of FeNi2PtO6, with properties calculated at the GGA+U level.

Lattice parameters (Å, degrees): 5.6863 5.6863 3.9026 90.00 90.00 90.00
Last column: nearest neighbours and their distance in Å.
Fractional positions:
1 Fe 0.0000 0.0000 0.0000  1 O 1.80
2 Ni 0.0000 0.5000 0.2251  4 O 2.06
3 Ni 0.5000 0.0000 0.2251  4 O 2.06
4 Pt 0.5000 0.5000 0.0617  6 O 1.92-2.02
5 O 0.0000 0.0000 0.5400  1 Fe 1.80
6 O 0.2503 0.2503 0.1120  1 Pt 2.02, 2 Ni 2.06, 1 Fe 2.06
7 O 0.2503 0.7497 0.1120  1 Pt 2.02, 2 Ni 2.06, 1 Fe 2.06
8 O 0.5000 0.5000 0.5701  2 Pt 1.92-1.98
9 O 0.7497 0.2503 0.1120  1 Pt 2.02, 2 Ni 2.06, 1 Fe 2.06
10 O 0.7497 0.7497 0.1120  1 Pt 2.02, 2 Ni 2.06, 1 Fe 2.06

Calculated values
**DFT total energy**: -5.13 eV per atom
**V**: 126.19 Å³/cell